Computed, not measured: crystalline InAg3H at its relaxed geometry at the PBE level of DFT.

The structure in CIF format:
```
data_InAg3H
_chemical_formula_sum 'In1 Ag3 H1'
_cell_length_a 4.296
_cell_length_b 4.296
_cell_length_c 4.296
_cell_angle_alpha 90.00
_cell_angle_beta 90.00
_cell_angle_gamma 90.00
_symmetry_space_group_name_H-M 'P 1'
_symmetry_Int_Tables_number 1
_symmetry_space_group_name_Hall 'P 1'
loop_
_atom_site_label
_atom_site_type_symbol
_atom_site_fract_x
_atom_site_fract_y
_atom_site_fract_z
In1 In 0.000 0.000 0.000
Ag1 Ag 0.000 0.500 0.500
Ag2 Ag 0.500 0.000 0.500
Ag3 Ag 0.500 0.500 0.000
H1 H 0.500 0.500 0.500
```

Summary:
- mass density (g/cm³) = 9.20
- distance to the lowest polymorph of the same formula (meV/atom) = 0
- M_tot (μB/f.u.) = 0.00
- electronic total energy (eV per atom) = -2.76


Computed, not measured: crystalline InAg2H2 at its relaxed geometry at the PBE level of DFT.

The structure in CIF format:
```
data_InAg2H2
_chemical_formula_sum 'In1 Ag2 H2'
_cell_length_a 7.022
_cell_length_b 7.022
_cell_length_c 7.022
_cell_angle_alpha 153.09
_cell_angle_beta 153.09
_cell_angle_gamma 38.42
_symmetry_space_group_name_H-M 'P 1'
_symmetry_Int_Tables_number 1
_symmetry_space_group_name_Hall 'P 1'
loop_
_atom_site_label
_atom_site_type_symbol
_atom_site_fract_x
_atom_site_fract_y
_atom_site_fract_z
In1 In 0.000 0.000 0.000
Ag1 Ag 0.336 0.336 0.000
Ag2 Ag 0.664 0.664 0.000
H1 H 0.250 0.750 0.500
H2 H 0.750 0.250 0.500
```

Summary:
- mass density (g/cm³) = 7.80
- distance to the lowest polymorph of the same formula (meV/atom) = 0
- M_tot (μB/f.u.) = 0.00
- electronic total energy (eV per atom) = -2.70


Computed, not measured: crystalline InAg3H at its relaxed geometry at the PBE level of DFT.

The structure in CIF format:
```
data_InAg3H
_chemical_formula_sum 'In1 Ag3 H1'
_cell_length_a 5.332
_cell_length_b 5.332
_cell_length_c 5.332
_cell_angle_alpha 90.00
_cell_angle_beta 90.00
_cell_angle_gamma 90.00
_symmetry_space_group_name_H-M 'P 1'
_symmetry_Int_Tables_number 1
_symmetry_space_group_name_Hall 'P 1'
loop_
_atom_site_label
_atom_site_type_symbol
_atom_site_fract_x
_atom_site_fract_y
_atom_site_fract_z
In1 In 0.000 0.000 0.000
Ag1 Ag 0.000 0.000 0.500
Ag2 Ag 0.000 0.500 0.000
Ag3 Ag 0.500 0.000 0.000
H1 H 0.500 0.500 0.500
```

Summary:
- mass density (g/cm³) = 4.81
- distance to the lowest polymorph of the same formula (meV/atom) = 860
- M_tot (μB/f.u.) = 0.95
- electronic total energy (eV per atom) = -1.90


Computed, not measured: crystalline InAg2H at its relaxed geometry at the PBE level of DFT.

The structure in CIF format:
```
data_InAg2H
_chemical_formula_sum 'In2 Ag4 H2'
_cell_length_a 5.813
_cell_length_b 5.813
_cell_length_c 5.813
_cell_angle_alpha 119.58
_cell_angle_beta 119.58
_cell_angle_gamma 90.72
_symmetry_space_group_name_H-M 'P 1'
_symmetry_Int_Tables_number 1
_symmetry_space_group_name_Hall 'P 1'
loop_
_atom_site_label
_atom_site_type_symbol
_atom_site_fract_x
_atom_site_fract_y
_atom_site_fract_z
In1 In 0.000 0.000 0.000
In2 In 0.750 0.250 0.500
Ag1 Ag 0.268 0.625 0.143
Ag2 Ag 0.375 0.518 0.643
Ag3 Ag 0.482 0.125 0.857
Ag4 Ag 0.875 0.732 0.357
H1 H 0.250 0.750 0.500
H2 H 0.500 0.500 0.000
```

Summary:
- mass density (g/cm³) = 7.88
- distance to the lowest polymorph of the same formula (meV/atom) = 0
- M_tot (μB/f.u.) = 0.00
- electronic total energy (eV per atom) = -2.74